Density functional theory data (PBE) for crystalline Y2RhNF at its relaxed geometry.

formation energy without anion corrections: -0.07 eV/atom

abc: 5.127 5.127 4.008
angles: 90.00 90.00 90.00
Positions (direct):
Y 0.000 0.500 0.000
Y 0.500 0.000 0.000
Rh 0.000 0.000 0.000
N 0.500 0.500 0.500
F 0.000 0.000 0.500